one) Compound: Pr5Sm2Dy3
Source: Alexandria
Functional: PBE
Structure: relaxed

Cell lengths 10.9029, 14.9705, 10.1339 Å; angles 90.00, 122.48, 90.00 degrees
With the nearest neighbours (Å) after each atom.
Space group C2/c (No. 15)
One atom of each set of equivalent atoms:
1 Pr 0.0000 0.0234 0.2500  3 Pr 3.12-3.47, 2 Dy 3.42
2 Pr 0.0000 0.2318 0.2500  1 Pr 3.12, 2 Sm 3.43
3 Pr 0.0000 0.2720 0.7500  3 Dy 3.11-3.43
4 Pr 0.2467 0.1215 0.7455  3 Dy 3.46-3.77, 3 Pr 3.47-3.53, 2 Sm 3.78-3.82
5 Sm 0.1529 0.3782 0.5587  3 Dy 3.30-3.51, 4 Pr 3.43-3.59
6 Dy 0.0000 0.4798 0.7500  3 Pr 3.11-3.46, 2 Sm 3.39
7 Dy 0.1559 0.1242 0.0559  1 Sm 3.30, 5 Pr 3.42-3.60, 1 Dy 3.53

Output
size of the total moment: 0.00 μB per cell

=====

two) Compound: Pr5Sm2Dy3
Source: Alexandria
Functional: PBE
Structure: relaxed

Cell lengths 9.4975, 22.2687, 6.9002 Å; angles 90.00, 90.00, 90.00 degrees
With the nearest neighbours (Å) after each atom.
Space group Ibam (No. 72)
One atom of each set of equivalent atoms:
1 Pr 0.0000 0.0000 0.2500  6 Pr 3.45
2 Pr 0.0000 0.2539 0.2500  2 Sm 3.41, 4 Pr 3.42-3.45
3 Pr 0.0972 0.1277 0.0000  1 Sm 2.93
4 Sm 0.0949 0.3796 0.5000  1 Pr 2.93, 1 Dy 3.24
5 Dy 0.0000 0.5000 0.2500  4 Sm 3.31, 2 Dy 3.45
6 Dy 0.2462 0.3815 0.0000  1 Sm 3.24, 1 Pr 3.34

Output
size of the total moment: 0.00 μB per cell

=====

Name the least stable of them. two).

=====

one) Compound: Pr3Sm2Dy4
Source: Alexandria
Functional: PBE
Structure: relaxed

Cell lengths 11.0715, 5.1210, 11.2433 Å; angles 90.00, 101.31, 90.00 degrees
With the nearest neighbours (Å) after each atom.
Space group C2/m (No. 12)
One atom of each set of equivalent atoms:
1 Pr 0.0000 0.0000 0.0000  8 Dy 3.23-3.58
2 Pr 0.0546 0.5000 0.7504  6 Dy 3.36-3.76, 2 Sm 3.59
3 Sm 0.1656 0.0000 0.5748  4 Dy 3.29-3.59, 2 Pr 3.59
4 Dy 0.1459 0.0000 0.2790  4 Pr 3.23-3.40, 3 Sm 3.29-3.50, 2 Dy 3.44
5 Dy 0.2223 0.5000 0.1027  4 Dy 3.44-3.58, 6 Pr 3.49-3.76, 1 Sm 3.59

Output
size of the total moment: 0.00 μB per cell

=====

two) Compound: Pr3Sm2Dy4
Source: Alexandria
Functional: PBE
Structure: relaxed

Cell lengths 16.5136, 11.8456, 6.1919 Å; angles 90.00, 97.45, 90.00 degrees
With the nearest neighbours (Å) after each atom.
Space group C2/c (No. 15)
One atom of each set of equivalent atoms:
1 Pr 0.0000 0.1319 0.2500  4 Dy 3.52-3.75, 6 Sm 3.56-3.61
2 Pr 0.1642 0.3600 0.0882  2 Sm 3.38-3.70, 8 Dy 3.43-3.65
3 Sm 0.1109 0.1261 0.7922  5 Pr 3.38-3.70, 3 Dy 3.48, 1 Sm 3.63
4 Dy 0.0575 0.3821 0.5376  3 Dy 3.38-3.51, 1 Sm 3.48, 5 Pr 3.49-3.65
5 Dy 0.2283 0.1183 0.3651  5 Pr 3.43-3.75, 3 Sm 3.48-3.82, 2 Dy 3.51-3.57

Output
size of the total moment: 0.00 μB per cell

=====

Name the least stable of them. one).

=====

one) Compound: Pr4Sm3Dy
Source: Alexandria
Functional: PBE
Structure: relaxed

Cell lengths 11.8534, 7.3937, 6.3880 Å; angles 90.00, 90.00, 90.00 degrees
With the nearest neighbours (Å) after each atom.
Space group Pmn2_1 (No. 31)
One atom of each set of equivalent atoms:
1 Pr 0.0000 0.1274 0.0000  6 Pr 3.65-3.73, 2 Dy 3.66-3.74, 4 Sm 3.66-3.69
2 Pr 0.0000 0.8728 0.4958  6 Pr 3.64-3.73, 4 Sm 3.65-3.73, 2 Dy 3.68-3.71
3 Pr 0.2481 0.8725 0.8326  1 Dy 3.63, 6 Pr 3.64-3.71, 5 Sm 3.66-3.74
4 Sm 0.0000 0.3767 0.5000  4 Sm 3.64, 2 Dy 3.67-3.68, 6 Pr 3.67-3.73
5 Sm 0.2500 0.3780 0.8306  2 Dy 3.63-3.64, 4 Sm 3.64-3.67, 6 Pr 3.65-3.74
6 Dy 0.0000 0.6219 0.9986  6 Sm 3.63-3.68, 6 Pr 3.63-3.74

Output
size of the total moment: 0.00 μB per cell

=====

two) Compound: Pr4Sm3Dy
Source: Alexandria
Functional: PBE
Structure: relaxed

Cell lengths 10.3677, 7.3144, 7.3136 Å; angles 90.00, 90.00, 90.00 degrees
With the nearest neighbours (Å) after each atom.
Space group Pmn2_1 (No. 31)
One atom of each set of equivalent atoms:
1 Pr 0.0000 0.0003 0.0000  2 Dy 3.65-3.66, 6 Sm 3.66, 4 Pr 3.66
2 Pr 0.0000 0.5000 0.4994  6 Sm 3.65-3.67, 2 Dy 3.66, 4 Pr 3.66-3.67
3 Pr 0.2504 0.2489 0.2498  6 Sm 3.64-3.67, 2 Dy 3.66, 4 Pr 3.66-3.67
4 Sm 0.0000 0.5000 0.9999  8 Pr 3.65-3.67, 4 Sm 3.67
5 Sm 0.2499 0.2488 0.7497  8 Pr 3.64-3.67, 2 Dy 3.66, 2 Sm 3.67
6 Dy 0.0000 0.0002 0.4995  8 Pr 3.65-3.66, 4 Sm 3.66

Output
size of the total moment: 0.00 μB per cell

=====

Name the least stable of them. one).

=====

one) Compound: Pr2Sm2Dy3
Source: Alexandria
Functional: PBE
Structure: relaxed

Cell lengths 6.2628, 6.2637, 12.5137 Å; angles 99.65, 99.68, 99.45 degrees
With the nearest neighbours (Å) after each atom.
Space group P-1 (No. 2)
One atom of each set of equivalent atoms:
1 Pr 0.1432 0.2841 0.2879  7 Dy 3.59-3.63, 4 Sm 3.60-3.63, 1 Pr 3.64
2 Pr 0.2853 0.5713 0.0722  5 Dy 3.61-3.64, 3 Pr 3.62-3.64, 4 Sm 3.63-3.64
3 Sm 0.4255 0.8572 0.8556  5 Dy 3.60-3.64, 5 Pr 3.60-3.64, 2 Sm 3.62-3.64
4 Sm 0.4315 0.8570 0.3593  2 Sm 3.56-3.62, 7 Dy 3.59-3.63, 3 Pr 3.61-3.63
5 Dy 0.0000 0.0000 0.0000  4 Sm 3.61-3.64, 6 Pr 3.61-3.63, 2 Dy 3.64
6 Dy 0.0000 0.0000 0.5000  6 Dy 3.59-3.62, 2 Pr 3.59, 4 Sm 3.59-3.62
7 Dy 0.1420 0.2859 0.7834  3 Dy 3.59-3.64, 4 Sm 3.60-3.63, 5 Pr 3.61-3.64
8 Dy 0.2846 0.5715 0.5709  3 Pr 3.59-3.61, 4 Sm 3.59-3.62, 5 Dy 3.60-3.62

Output
size of the total moment: 0.00 μB per cell

=====

two) Compound: Pr2Sm2Dy3
Source: Alexandria
Functional: PBE
Structure: relaxed

Cell lengths 16.9736, 3.5212, 8.8549 Å; angles 90.00, 116.48, 90.00 degrees
With the nearest neighbours (Å) after each atom.
Space group C2/m (No. 12)
One atom of each set of equivalent atoms:
1 Pr 0.0798 0.0000 0.2046  3 Pr 3.42-3.52, 4 Dy 3.44-3.55, 4 Sm 3.67-3.83
2 Sm 0.1396 0.5000 0.9065  4 Sm 3.52-3.79, 5 Dy 3.61-3.75, 4 Pr 3.67-3.83
3 Dy 0.0000 0.0000 0.5000  4 Dy 3.37-3.52, 2 Pr 3.44, 4 Sm 3.75
4 Dy 0.2203 0.0000 0.6451  5 Dy 3.37-3.61, 3 Pr 3.52-3.55, 3 Sm 3.61-3.63

Output
size of the total moment: 0.00 μB per cell

=====

Name the least stable of them. two).

=====

one) Compound: Pr2Sm4Dy3
Source: Alexandria
Functional: PBE
Structure: relaxed

Cell lengths 3.6337, 3.6337, 26.8599 Å; angles 90.00, 90.00, 120.00 degrees
With the nearest neighbours (Å) after each atom.
Space group P3m1 (No. 156)
One atom of each set of equivalent atoms:
1 Pr 0.0000 0.0000 0.0000  6 Pr 3.63, 3 Dy 3.64, 3 Sm 3.69
2 Pr 0.0000 0.0000 0.2176  3 Dy 3.55, 1 Sm 3.57, 6 Pr 3.63
3 Sm 0.0000 0.0000 0.3505  3 Dy 3.50, 1 Pr 3.57, 6 Sm 3.63
4 Sm 0.0000 0.0000 0.5632  3 Dy 3.59, 9 Sm 3.61-3.63
5 Sm 0.3333 0.6667 0.6726  3 Dy 3.57, 9 Sm 3.61-3.63
6 Sm 0.3333 0.6667 0.8872  3 Dy 3.56, 6 Sm 3.63, 3 Pr 3.69
7 Dy 0.0000 0.0000 0.7801  6 Sm 3.56-3.57, 6 Dy 3.63
8 Dy 0.3333 0.6667 0.1109  6 Pr 3.55-3.64, 6 Dy 3.63
9 Dy 0.3333 0.6667 0.4549  6 Sm 3.50-3.59, 6 Dy 3.63

Output
size of the total moment: 0.01 μB per cell

=====

two) Compound: Pr2Sm4Dy3
Source: Alexandria
Functional: PBE
Structure: relaxed

Cell lengths 19.9340, 3.5549, 8.7450 Å; angles 90.00, 99.09, 90.00 degrees
With the nearest neighbours (Å) after each atom.
Space group C2/m (No. 12)
One atom of each set of equivalent atoms:
1 Pr 0.1670 0.0000 0.0427  4 Pr 3.55-3.93, 4 Sm 3.62-3.76, 4 Dy 3.67-3.74
2 Sm 0.0484 0.0000 0.6841  4 Sm 3.48-3.55, 6 Dy 3.52-3.67, 1 Pr 3.62
3 Sm 0.2199 0.0000 0.6482  5 Sm 3.48-3.55, 3 Dy 3.49-3.58, 3 Pr 3.69-3.76
4 Dy 0.0000 0.5000 0.0000  4 Dy 3.51-3.55, 4 Sm 3.54, 4 Pr 3.74
5 Dy 0.1058 0.5000 0.3617  7 Sm 3.49-3.67, 3 Dy 3.51-3.55, 2 Pr 3.67

Output
size of the total moment: 0.00 μB per cell

=====

Name the least stable of them. two).

=====

one) Compound: PrSm2Dy
Source: Alexandria
Functional: PBE
Structure: relaxed

Cell lengths 5.1243, 5.1243, 5.1381 Å; angles 90.00, 90.00, 90.00 degrees
With the nearest neighbours (Å) after each atom.
Space group P4/mmm (No. 123)
One atom of each set of equivalent atoms:
1 Pr 0.0000 0.0000 0.0000  4 Dy 3.62, 8 Sm 3.63
2 Sm 0.0000 0.5000 0.5000  4 Sm 3.62, 4 Dy 3.63, 4 Pr 3.63
3 Dy 0.5000 0.5000 0.0000  4 Pr 3.62, 8 Sm 3.63

Output
size of the total moment: 0.00 μB per cell

=====

two) Compound: PrSm2Dy
Source: Alexandria
Functional: PBE
Structure: relaxed

Cell lengths 8.1693, 8.1693, 8.1693 Å; angles 90.00, 90.00, 90.00 degrees
With the nearest neighbours (Å) after each atom.
Space group Fm-3m (No. 225)
One atom of each set of equivalent atoms:
1 Pr 0.0000 0.0000 0.0000  8 Sm 3.54
2 Sm 0.2500 0.2500 0.2500  4 Dy 3.54, 4 Pr 3.54
3 Dy 0.0000 0.0000 0.5000  8 Sm 3.54

Output
size of the total moment: 2.70 μB per cell

=====

Name the least stable of them. two).

=====

one) Compound: PrSm2Dy
Source: Alexandria
Functional: PBE
Structure: relaxed

Cell lengths 5.1422, 5.1422, 10.2287 Å; angles 90.00, 90.00, 90.00 degrees
With the nearest neighbours (Å) after each atom.
Space group I-4m2 (No. 119)
One atom of each set of equivalent atoms:
1 Pr 0.0000 0.0000 0.0000  4 Dy 3.63, 8 Sm 3.63-3.64
2 Sm 0.0000 0.0000 0.5000  4 Dy 3.63, 4 Sm 3.63, 4 Pr 3.64
3 Sm 0.0000 0.5000 0.2500  4 Pr 3.63, 4 Sm 3.63, 4 Dy 3.64
4 Dy 0.0000 0.5000 0.7500  4 Pr 3.63, 8 Sm 3.63-3.64

Output
size of the total moment: 0.00 μB per cell

=====

two) Compound: PrSm2Dy
Source: Alexandria
Functional: PBE
Structure: relaxed

Cell lengths 4.2841, 4.2841, 7.3823 Å; angles 90.00, 90.00, 90.00 degrees
With the nearest neighbours (Å) after each atom.
Space group P4/mmm (No. 123)
One atom of each set of equivalent atoms:
1 Pr 0.0000 0.0000 0.0000  8 Sm 3.57, 2 Dy 3.69
2 Sm 0.5000 0.5000 0.2555  4 Dy 3.53, 4 Pr 3.57, 2 Sm 3.61-3.77
3 Dy 0.0000 0.0000 0.5000  8 Sm 3.53, 2 Pr 3.69

Output
size of the total moment: 0.00 μB per cell

=====

Name the least stable of them. two).

=====

one) Compound: Pr2SmDy8
Source: Alexandria
Functional: PBE
Structure: relaxed

Cell lengths 9.0741, 16.1258, 5.9382 Å; angles 90.00, 122.90, 90.00 degrees
With the nearest neighbours (Å) after each atom.
Space group C2/m (No. 12)
One atom of each set of equivalent atoms:
1 Pr 0.0000 0.1938 0.0000  8 Dy 3.37-3.50
2 Sm 0.0000 0.5000 0.5000  4 Dy 3.35-3.38
3 Dy 0.0000 0.2921 0.5000  1 Sm 3.35, 2 Pr 3.37, 6 Dy 3.62-3.73
4 Dy 0.0728 0.0000 0.2960  4 Dy 3.01-3.33
5 Dy 0.2144 0.3844 0.1730  4 Dy 3.25-3.62, 2 Pr 3.48-3.50

Output
size of the total moment: 0.00 μB per cell

=====

two) Compound: Pr2SmDy8
Source: Alexandria
Functional: PBE
Structure: relaxed

Cell lengths 18.2519, 5.0652, 8.0100 Å; angles 90.00, 105.25, 90.00 degrees
With the nearest neighbours (Å) after each atom.
Space group C2/m (No. 12)
One atom of each set of equivalent atoms:
1 Pr 0.2272 0.0000 0.1376  10 Dy 3.57-3.62, 2 Pr 3.60
2 Sm 0.0000 0.5000 0.5000  12 Dy 3.56-3.58
3 Dy 0.0445 0.0000 0.2270  9 Dy 3.55-3.58, 2 Sm 3.58, 1 Pr 3.59
4 Dy 0.0896 0.5000 0.9540  8 Dy 3.54-3.60, 1 Sm 3.57, 3 Pr 3.60-3.61
5 Dy 0.1353 0.0000 0.6782  7 Dy 3.56-3.60, 2 Sm 3.56, 3 Pr 3.60-3.62
6 Dy 0.1812 0.5000 0.4077  3 Pr 3.57-3.59, 8 Dy 3.57-3.60, 1 Sm 3.57

Output
size of the total moment: 0.00 μB per cell

=====

Name the least stable of them. one).